[1]
Material: Y2ZrO
Method: DFT, PBE
State: optimized geometry

Geometry as extended XYZ:
```
4
Lattice="1.6769 0.9681 9.0712 -1.6769 0.9681 9.0712 0.0000 -1.9363 9.0712" Properties=species:S:1:pos:R:3 pbc="T T T"
Y 0.0000 0.0000 3.1485
Y 0.0000 0.0000 24.0650
Zr 0.0000 0.0000 0.0000
O 0.0000 0.0000 13.6068
```

Calculated values
Energy, eV per atom: -7.6827
Energy relative to the elements, uncorrected, meV per atom: -1074
Calculated density, g/cm3: 5.36
Space group: R-3m, No. 166
Fermi-level density of states, states/eV/cell: 2.7
Crystal system: trigonal

[2]
Material: Hf6Pb3N
Method: DFT, PBE
State: optimized geometry

Geometry as extended XYZ:
```
20
Lattice="5.0325 -7.8753 0.0000 5.0325 7.8753 0.0000 0.0000 0.0000 5.5622" Properties=species:S:1:pos:R:3 pbc="T T T"
Hf 3.2741 3.9515 3.5974
Hf 5.0325 6.6118 2.7811
Hf 3.3596 1.3717 0.0484
Hf 5.0325 3.8796 0.7650
Hf 3.3596 -1.3717 2.8295
Hf 6.7909 3.9515 3.5974
Hf 3.2741 -3.9515 0.8163
Hf 6.7054 1.3717 0.0484
Hf 5.0325 -3.8796 3.5460
Hf 6.7054 -1.3717 2.8295
Hf 5.0325 -6.6118 0.0000
Hf 6.7909 -3.9515 0.8163
Pb 1.6830 1.3649 2.7644
Pb 1.6830 -1.3649 5.5455
Pb 5.0325 1.2893 2.8072
Pb 5.0325 -1.2893 0.0261
Pb 8.3819 1.3649 2.7644
Pb 8.3819 -1.3649 5.5455
N 5.0325 4.5811 2.7127
N 5.0325 -4.5811 5.4938
```

Calculated values
Energy, eV per atom: -8.1694
Energy relative to the elements, uncorrected, meV per atom: -252
Calculated density, g/cm3: 12.86
Space group: Cmc2_1, No. 36
Fermi-level density of states, states/eV/cell: 14.7
Crystal system: orthorhombic

[3]
Material: GaSnHgSe2
Method: DFT, PBE
State: optimized geometry

Geometry as extended XYZ:
```
5
Lattice="5.3283 0.0000 0.0000 0.0000 5.3283 0.0000 0.0000 0.0000 5.7312" Properties=species:S:1:pos:R:3 pbc="T T T"
Ga 0.0000 0.0000 0.0000
Sn 0.0000 0.0000 2.8656
Hg 2.6642 2.6642 0.0000
Se 0.0000 2.6642 2.8656
Se 2.6642 0.0000 2.8656
```

Calculated values
Energy, eV per atom: -2.6396
Energy relative to the elements, uncorrected, meV per atom: 220
Calculated density, g/cm3: 5.58
Space group: P4/mmm, No. 123
Fermi-level density of states, states/eV/cell: 3.3
Crystal system: tetragonal